1.
PmGa3 after structural relaxation. Source: Alexandria via LeMat-Bulk, functional PBEsol.

Results
- mass density (g cm⁻³) = 7.6
- crystal system = hexagonal
- formation energy (eV/atom) = -0.63

Cell: 6.3197 6.3197 4.4962 Å, 90.00 90.00 120.00°
Space group P6_3/mmc (No. 194)
Symmetry-distinct sites (fractional):
Pm: 0.3333 0.6667 0.2500 [2 per cell]
Ga: 0.1440 0.2880 0.7500 [6 per cell]

2.
Pm3Ga after structural relaxation. Source: Alexandria via LeMat-Bulk, functional PBEsol.

Results
- mass density (g cm⁻³) = 7.9
- crystal system = cubic
- formation energy (eV/atom) = -0.28

Cell: 4.7284 4.7284 4.7284 Å, 90.00 90.00 90.00°
Space group Pm-3m (No. 221)
Symmetry-distinct sites (fractional):
Pm: 0.0000 0.0000 0.5000 [3 per cell]
Ga: 0.5000 0.5000 0.5000 [1 per cell]

3.
PmSmGa2 after structural relaxation. Source: Alexandria via LeMat-Bulk, functional PBEsol.

Results
- mass density (g cm⁻³) = 7.7
- crystal system = cubic
- formation energy (eV/atom) = -0.60

Cell: 7.1964 7.1964 7.1964 Å, 90.00 90.00 90.00°
Space group Fm-3m (No. 225)
Symmetry-distinct sites (fractional):
Pm: 0.0000 0.0000 0.0000 [4 per cell]
Sm: 0.0000 0.0000 0.5000 [4 per cell]
Ga: 0.2500 0.2500 0.2500 [8 per cell]

4.
Pr9Ga4 after structural relaxation. Source: Alexandria via LeMat-Bulk, functional PBEsol.

Results
- mass density (g cm⁻³) = 7.0
- crystal system = tetragonal
- formation energy (eV/atom) = -0.38

Cell: 11.9726 11.9726 5.1124 Å, 90.00 90.00 90.00°
Space group I4/m (No. 87)
Symmetry-distinct sites (fractional):
Pr: 0.0000 0.0000 0.0000 [2 per cell]
Pr: 0.0950 0.6274 0.0000 [8 per cell]
Pr: 0.1085 0.8125 0.5000 [8 per cell]
Ga: 0.1133 0.2304 0.0000 [8 per cell]

5.
Pr2Ga after structural relaxation. Source: Alexandria via LeMat-Bulk, functional PBEsol.

Results
- mass density (g cm⁻³) = 7.1
- crystal system = orthorhombic
- formation energy (eV/atom) = -0.40

Cell: 6.6394 5.1592 9.6132 Å, 90.00 90.00 90.00°
Space group Pnma (No. 62)
Symmetry-distinct sites (fractional):
Pr: 0.0063 0.2500 0.1949 [4 per cell]
Pr: 0.1904 0.2500 0.5837 [4 per cell]
Ga: 0.2160 0.2500 0.9035 [4 per cell]

6.
PrGa after structural relaxation. Source: Alexandria via LeMat-Bulk, functional PBEsol.

Results
- mass density (g cm⁻³) = 6.8
- crystal system = orthorhombic
- formation energy (eV/atom) = -0.60

Cell: 4.4090 11.2731 4.1256 Å, 90.00 90.00 90.00°
Space group Cmcm (No. 63)
Symmetry-distinct sites (fractional):
Pr: 0.0000 0.1432 0.2500 [4 per cell]
Ga: 0.0000 0.4314 0.2500 [4 per cell]

7.
PrGa6 after structural relaxation. Source: Alexandria via LeMat-Bulk, functional PBEsol.

Results
- mass density (g cm⁻³) = 6.9
- crystal system = tetragonal
- formation energy (eV/atom) = -0.40

Cell: 5.9363 5.9363 7.6043 Å, 90.00 90.00 90.00°
Space group P4/nbm (No. 125, origin choice 2)
Symmetry-distinct sites (fractional):
Pr: 0.2500 0.7500 0.0000 [2 per cell]
Ga: 0.0637 0.5637 0.3521 [8 per cell]
Ga: 0.2500 0.2500 0.1623 [4 per cell]

8.
PrGa3Pt after structural relaxation. Source: Alexandria via LeMat-Bulk, functional PBEsol.

Results
- mass density (g cm⁻³) = 9.7
- crystal system = tetragonal
- formation energy (eV/atom) = -0.76

Cell: 4.1601 4.1601 10.7497 Å, 90.00 90.00 90.00°
Space group I-4m2 (No. 119)
Symmetry-distinct sites (fractional):
Pr: 0.0000 0.0000 0.0000 [2 per cell]
Ga: 0.0000 0.0000 0.3857 [4 per cell]
Ga: 0.0000 0.5000 0.7500 [2 per cell]
Pt: 0.0000 0.5000 0.2500 [2 per cell]

9.
Pr4GaSbS9 after structural relaxation. Source: Alexandria via LeMat-Bulk, functional PBEsol.

Results
- mass density (g cm⁻³) = 5.0
- final energy (eV for the cell shown) = -734.03
- crystal system = orthorhombic

Cell: 13.7439 14.0518 14.3761 Å, 90.00 90.00 90.00°
Space group Aea2 (No. 41)
Symmetry-distinct sites (fractional):
Pr: 0.1019 0.1749 0.0000 [8 per cell]
Pr: 0.1043 0.1107 0.5542 [8 per cell]
Pr: 0.1792 0.1659 0.2827 [8 per cell]
Pr: 0.1832 0.3914 0.5106 [8 per cell]
Ga: 0.0940 0.3956 0.7713 [8 per cell]
Sb: 0.1117 0.4176 0.2373 [8 per cell]
S: 0.0000 0.0000 0.3592 [4 per cell]
S: 0.0000 0.0000 0.9960 [4 per cell]
S: 0.0011 0.1966 0.1771 [8 per cell]
S: 0.0669 0.2519 0.4232 [8 per cell]
S: 0.0803 0.0909 0.7519 [8 per cell]
S: 0.1008 0.4070 0.0653 [8 per cell]
S: 0.1906 0.3049 0.8665 [8 per cell]
S: 0.2020 0.4869 0.6871 [8 per cell]
S: 0.2461 0.2356 0.6179 [8 per cell]
S: 0.2488 0.0576 0.9298 [8 per cell]

10.
Pr2ZnGa after structural relaxation. Source: Alexandria via LeMat-Bulk, functional PBEsol.

Results
- mass density (g cm⁻³) = 7.1
- crystal system = cubic
- formation energy (eV/atom) = -0.44

Cell: 7.3066 7.3066 7.3066 Å, 90.00 90.00 90.00°
Space group Fm-3m (No. 225)
Symmetry-distinct sites (fractional):
Pr: 0.2500 0.2500 0.2500 [8 per cell]
Zn: 0.0000 0.0000 0.0000 [4 per cell]
Ga: 0.0000 0.0000 0.5000 [4 per cell]

11.
Ga2Pt after structural relaxation. Source: Alexandria via LeMat-Bulk, functional PBEsol.

Results
- mass density (g cm⁻³) = 11.4
- crystal system = tetragonal
- formation energy (eV/atom) = -0.59

Cell: 8.5184 8.5184 21.4515 Å, 90.00 90.00 90.00°
Space group I4_1/acd (No. 142, origin choice 2)
Symmetry-distinct sites (fractional):
Ga: 0.0482 0.0261 0.3120 [32 per cell]
Ga: 0.0497 0.0259 0.4387 [32 per cell]
Pt: 0.0000 0.2500 0.0187 [16 per cell]
Pt: 0.1898 0.0602 0.6250 [16 per cell]

12.
Ga3Pt5 after structural relaxation. Source: Alexandria via LeMat-Bulk, functional PBEsol.

Results
- mass density (g cm⁻³) = 16.8
- crystal system = orthorhombic
- formation energy (eV/atom) = -0.58

Cell: 7.4628 7.9556 3.9466 Å, 90.00 90.00 90.00°
Space group Cmmm (No. 65)
Symmetry-distinct sites (fractional):
Ga: 0.0000 0.0000 0.0000 [2 per cell]
Ga: 0.0000 0.2853 0.5000 [4 per cell]
Pt: 0.0000 0.5000 0.0000 [2 per cell]
Pt: 0.2086 0.0000 0.5000 [4 per cell]
Pt: 0.2500 0.2500 0.0000 [4 per cell]